# 1
First-principles (GGA-PBE) data for crystalline InTcP2 at its relaxed geometry, as listed in Alexandria via LeMat-Bulk.

abc: 8.2149 3.0668 6.2551
angles: 90.00 108.11 90.00
Space group Cm (No. 8)
Unique sites:
1 In 0.0000 0.0000 0.0000 [2 per cell]
2 Tc 0.1304 0.5000 0.4221 [2 per cell]
3 P 0.1954 0.0000 0.7309 [2 per cell]
4 P 0.3372 0.0000 0.3928 [2 per cell]

=====

# 2
First-principles (GGA-PBE) data for crystalline InTc2P at its relaxed geometry, as listed in Alexandria via LeMat-Bulk.

abc: 2.9596 3.2391 13.9768
angles: 90.00 90.00 90.00
Space group Imm2 (No. 44)
Unique sites:
1 In 0.0000 0.0000 0.0000 [2 per cell]
2 Tc 0.0000 0.0000 0.3614 [2 per cell]
3 Tc 0.0000 0.5000 0.6783 [2 per cell]
4 P 0.0000 0.5000 0.2428 [2 per cell]

=====

# 3
First-principles (GGA-PBE) data for crystalline InTc2P at its relaxed geometry, as listed in Alexandria via LeMat-Bulk.

abc: 2.9896 2.9896 24.3101
angles: 90.00 90.00 120.00
Space group R-3m (No. 166, hexagonal axes)
Unique sites:
1 In 0.0000 0.0000 0.0000 [3 per cell]
2 Tc 0.0000 0.0000 0.2368 [6 per cell]
3 P 0.0000 0.0000 0.5000 [3 per cell]

=====

# 4
First-principles (GGA-PBE) data for crystalline InTc2P at its relaxed geometry, as listed in Alexandria via LeMat-Bulk.

abc: 3.1241 3.1241 6.5611
angles: 90.00 90.00 90.00
Space group P4mm (No. 99)
Unique sites:
1 In 0.0000 0.0000 0.0000 [1 per cell]
2 Tc 0.0000 0.0000 0.4703 [1 per cell]
3 Tc 0.5000 0.5000 0.7277 [1 per cell]
4 P 0.5000 0.5000 0.3171 [1 per cell]

=====

# 5
First-principles (GGA-PBE) data for crystalline InTcP2 at its relaxed geometry, as listed in Alexandria via LeMat-Bulk.

abc: 4.4113 3.5632 8.6806
angles: 90.00 90.00 90.00
Space group Amm2 (No. 38)
Unique sites:
1 In 0.0000 0.0000 0.0000 [2 per cell]
2 Tc 0.5000 0.0000 0.4000 [2 per cell]
3 P 0.0000 0.0000 0.2811 [2 per cell]
4 P 0.5000 0.0000 0.6943 [2 per cell]

=====

# 6
First-principles (GGA-PBE) data for crystalline InTcP2 at its relaxed geometry, as listed in Alexandria via LeMat-Bulk.

abc: 6.3915 6.3915 6.3915
angles: 90.00 90.00 90.00
Space group F-43m (No. 216)
Unique sites:
1 In 0.0000 0.0000 0.0000 [4 per cell]
2 Tc 0.2500 0.2500 0.7500 [4 per cell]
3 P 0.0000 0.0000 0.5000 [4 per cell]
4 P 0.2500 0.2500 0.2500 [4 per cell]

=====

# 7
First-principles (GGA-PBE) data for crystalline InTc4P at its relaxed geometry, as listed in Alexandria via LeMat-Bulk.

abc: 7.3537 7.3537 7.3537
angles: 90.00 90.00 90.00
Space group F-43m (No. 216)
Unique sites:
1 In 0.0000 0.0000 0.0000 [4 per cell]
2 Tc 0.1239 0.1239 0.3761 [16 per cell]
3 P 0.2500 0.2500 0.7500 [4 per cell]

=====

# 8
First-principles (GGA-PBE) data for crystalline InTcP2 at its relaxed geometry, as listed in Alexandria via LeMat-Bulk.

abc: 3.1797 3.1797 7.4917
angles: 90.00 90.00 90.00
Space group P4mm (No. 99)
Unique sites:
1 In 0.0000 0.0000 0.0000 [1 per cell]
2 Tc 0.5000 0.5000 0.5228 [1 per cell]
3 P 0.0000 0.0000 0.6436 [1 per cell]
4 P 0.5000 0.5000 0.2260 [1 per cell]

=====

ΔE_f, respectively: -59 -50 0 -8 38 275 315 7 kJ/mol of formula units.